Record 1
## Pr2MnSi3Ir4 (GGA-PBE)

Data for Pr2MnSi3Ir4 after structural relaxation.

Cell: 4.1583 4.1583 10.2453 Å, 90.00 90.00 90.00°
Closest atoms and distances in Å follow each position.
Fractional positions:
Pr 0.0000 0.5000 0.2492  8 Ir 3.16-3.31, 6 Si 3.21-3.29, 2 Mn 3.29
Pr 0.5000 0.0000 0.7508  8 Ir 3.16-3.31, 6 Si 3.21-3.29, 2 Mn 3.29
Mn 0.5000 0.5000 0.0000  4 Ir 2.50
Si 0.0000 0.0000 0.0000  4 Ir 2.50
Si 0.0000 0.5000 0.6260  5 Ir 2.44-2.45
Si 0.5000 0.0000 0.3740  5 Ir 2.44-2.45
Ir 0.0000 0.0000 0.5000  4 Si 2.45
Ir 0.0000 0.5000 0.8642  3 Si 2.44-2.50, 2 Mn 2.50
Ir 0.5000 0.0000 0.1358  3 Si 2.44-2.50, 2 Mn 2.50
Ir 0.5000 0.5000 0.5000  4 Si 2.45

Values from the calculation:
Total DFT energy (no corrections) = -7.921 eV per atom
Formation energy without anion corrections = -0.8769 eV per atom
Theoretical density = 11.2 Mg/m³

---

Record 2
## MnIr2Pt (GGA-PBE)

Data for MnIr2Pt after structural relaxation.

Cell: 4.6896 4.6896 2.7814 Å, 90.00 90.00 108.38°
Closest atoms and distances in Å follow each position.
Fractional positions:
Mn 0.0000 0.0000 0.0000  8 Ir 2.73, 2 Pt 2.74, 2 Mn 2.78
Ir 0.0000 0.5000 0.5000  4 Mn 2.73, 4 Pt 2.73, 4 Ir 2.74-2.78
Ir 0.5000 0.0000 0.5000  4 Mn 2.73, 4 Pt 2.73, 4 Ir 2.74-2.78
Pt 0.5000 0.5000 0.0000  8 Ir 2.73, 2 Mn 2.74, 2 Pt 2.78

Values from the calculation:
Total DFT energy (no corrections) = -8.313 eV per atom
Theoretical density = 18.1 Mg/m³
DFT formation energy = -8 kJ per mole of atoms

---

Record 3
## MnIrPt4 (GGA-PBE)

Data for MnIrPt4 after structural relaxation.

Cell: 5.2076 5.2076 5.2076 Å, 60.00 60.00 60.00°
Closest atoms and distances in Å follow each position.
Fractional positions:
Mn 0.0000 0.0000 0.0000  12 Pt 3.05, 4 Ir 3.19
Ir 0.2500 0.2500 0.2500  12 Pt 3.05, 4 Mn 3.19
Pt 0.1260 0.6247 0.6247  6 Pt 2.60-2.61
Pt 0.6247 0.1260 0.6247  6 Pt 2.60-2.61
Pt 0.6247 0.6247 0.1260  6 Pt 2.60-2.61
Pt 0.6247 0.6247 0.6247  6 Pt 2.60-2.61

Values from the calculation:
Total DFT energy (no corrections) = -6.761 eV per atom
Theoretical density = 17.1 Mg/m³
DFT formation energy = 26 kJ per mole of atoms

---

Record 4
## MnIr2Pt (GGA-PBE)

Data for MnIr2Pt after structural relaxation.

Cell: 2.7551 3.7642 5.5499 Å, 90.00 90.00 90.00°
Closest atoms and distances in Å follow each position.
Fractional positions:
Mn 0.0000 0.0000 0.0000  8 Ir 2.68, 2 Mn 2.76, 2 Pt 2.77
Ir 0.5000 0.5000 0.2378  4 Ir 2.64-2.91, 4 Mn 2.68, 4 Pt 2.75
Ir 0.5000 0.5000 0.7622  4 Ir 2.64-2.91, 4 Mn 2.68, 4 Pt 2.75
Pt 0.0000 0.0000 0.5000  8 Ir 2.75, 2 Pt 2.76, 2 Mn 2.77

Values from the calculation:
Total DFT energy (no corrections) = -8.301 eV per atom
Theoretical density = 18.3 Mg/m³
DFT formation energy = -7 kJ per mole of atoms

---

Record 5
## MnIr2Pt (GGA-PBE)

Data for MnIr2Pt after structural relaxation.

Cell: 8.9335 8.9335 8.9335 Å, 17.82 17.82 17.82°
Closest atoms and distances in Å follow each position.
Fractional positions:
Mn 0.0000 0.0000 0.0000  3 Ir 2.63, 3 Pt 2.67, 6 Mn 2.77
Ir 0.4964 0.4964 0.4964  9 Ir 2.72-2.77, 3 Pt 2.84
Ir 0.7460 0.7460 0.7460  3 Mn 2.63, 9 Ir 2.72-2.77
Pt 0.2524 0.2524 0.2524  3 Mn 2.67, 6 Pt 2.77, 3 Ir 2.84

Values from the calculation:
Total DFT energy (no corrections) = -8.264 eV per atom
Theoretical density = 18.1 Mg/m³
DFT formation energy = -3 kJ per mole of atoms

---

Record 6
## MnIrPt4 (GGA-PBE)

Data for MnIrPt4 after structural relaxation.

Cell: 6.8643 6.8643 6.5311 Å, 112.58 112.58 46.77°
Closest atoms and distances in Å follow each position.
Fractional positions:
Mn 0.2190 0.2190 0.1644  9 Pt 2.62-2.87, 1 Ir 2.70
Mn 0.7810 0.7810 0.8356  9 Pt 2.62-2.87, 1 Ir 2.70
Ir 0.0663 0.0663 0.7254  7 Pt 2.61-2.67, 1 Mn 2.70, 1 Ir 2.71
Ir 0.9337 0.9337 0.2746  7 Pt 2.61-2.67, 1 Mn 2.70, 1 Ir 2.71
Pt 0.1171 0.6145 0.5471  2 Ir 2.66-2.67, 6 Pt 2.71-2.84, 2 Mn 2.76-2.87
Pt 0.2561 0.7439 0.0000  6 Pt 2.66-2.79, 2 Ir 2.67, 2 Mn 2.87
Pt 0.2912 0.2912 0.8418  1 Ir 2.61, 3 Mn 2.62-2.73, 6 Pt 2.73-2.84
Pt 0.3855 0.8829 0.4529  2 Ir 2.66-2.67, 6 Pt 2.71-2.84, 2 Mn 2.76-2.87
Pt 0.6145 0.1171 0.5471  2 Ir 2.66-2.67, 6 Pt 2.71-2.84, 2 Mn 2.76-2.87
Pt 0.7088 0.7088 0.1582  1 Ir 2.61, 3 Mn 2.62-2.73, 6 Pt 2.73-2.84
Pt 0.7439 0.2561 0.0000  6 Pt 2.66-2.79, 2 Ir 2.67, 2 Mn 2.87
Pt 0.8829 0.3855 0.4529  2 Ir 2.66-2.67, 6 Pt 2.71-2.84, 2 Mn 2.76-2.87

Values from the calculation:
Total DFT energy (no corrections) = -6.950 eV per atom
Theoretical density = 16.8 Mg/m³
DFT formation energy = 8 kJ per mole of atoms